Crystalline NdAgTe2PbS at its relaxed geometry, computed with PBE-GGA.

Computed properties:
* uncorrected energy: -4.44 eV/atom

Lattice parameters (Å, degrees): 4.4042 14.6580 10.6567 90.00 90.00 90.00
Space group Cmcm (No. 63)
Unique sites:
Nd  0.0000  0.0000  0.0000 [4 per cell]
Ag  0.0000  0.4816  0.2500 [4 per cell]
Te  0.0000  0.3481  0.0601 [8 per cell]
Pb  0.0000  0.2691  0.7500 [4 per cell]
S  0.0000  0.0782  0.2500 [4 per cell]

Crystalline MoIr2Os at its relaxed geometry, computed with PBE-GGA.

Computed properties:
* calculated formation energy: -0.278 eV per atom
* relative energy among the computed polymorphs: 0.03 eV per formula unit

Lattice parameters (Å, degrees): 4.4061 9.5701 5.5496 90.00 90.00 90.00
Space group Ama2 (No. 40)
Unique sites:
Mo  0.2500  0.1652  0.0000 [4 per cell]
Ir  0.2500  0.1664  0.4999 [4 per cell]
Ir  0.2500  0.4173  0.7526 [4 per cell]
Os  0.2500  0.4172  0.2515 [4 per cell]

Crystalline Nb3SbC2 at its relaxed geometry, computed with PBE-GGA.

Computed properties:
* uncorrected energy: -9.19 eV/atom

Lattice parameters (Å, degrees): 3.2775 3.2775 18.7036 90.00 90.00 120.00
Space group P6_3/mmc (No. 194)
Unique sites:
Nb  0.0000  0.0000  0.0000 [2 per cell]
Nb  0.3333  0.6667  0.1293 [4 per cell]
Sb  0.0000  0.0000  0.2500 [2 per cell]
C  0.3333  0.6667  0.5705 [4 per cell]

Crystalline Nb4CoBiC2 at its relaxed geometry, computed with PBE-GGA.

Computed properties:
* uncorrected energy: -8.89 eV/atom

Lattice parameters (Å, degrees): 3.2178 3.2178 13.5505 90.00 90.00 120.00
Space group P-6m2 (No. 187)
Unique sites:
Nb  0.0000  0.0000  0.1381 [2 per cell]
Nb  0.6667  0.3333  0.3168 [2 per cell]
Co  0.6667  0.3333  0.0000 [1 per cell]
Bi  0.0000  0.0000  0.5000 [1 per cell]
C  0.3333  0.6667  0.2287 [2 per cell]

Crystalline PrLuZn2Sn2 at its relaxed geometry, computed with PBE-GGA.

Computed properties:
* relative energy among the computed polymorphs: 0.00 eV per formula unit

Lattice parameters (Å, degrees): 4.5123 4.5123 16.1866 90.00 90.00 120.00
Space group P6_3/mmc (No. 194)
Unique sites:
Pr  0.0000  0.0000  0.0000 [2 per cell]
Lu  0.0000  0.0000  0.2500 [2 per cell]
Zn  0.3333  0.6667  0.1657 [4 per cell]
Sn  0.3333  0.6667  0.6202 [4 per cell]

Crystalline NaOsPb at its relaxed geometry, computed with PBE-GGA.

Computed properties:
* relative energy among the computed polymorphs: 1.81 eV per formula unit

Lattice parameters (Å, degrees): 6.5008 6.5008 6.5008 90.00 90.00 90.00
Space group F-43m (No. 216)
Unique sites:
Na  0.0000  0.0000  0.0000 [4 per cell]
Os  0.2500  0.2500  0.7500 [4 per cell]
Pb  0.2500  0.2500  0.2500 [4 per cell]

Crystalline NaAgTe3Ir at its relaxed geometry, computed with PBE-GGA.

Computed properties:
* uncorrected energy: -3.94 eV/atom

Lattice parameters (Å, degrees): 3.9935 14.2542 10.7672 90.00 90.00 90.00
Space group Cmcm (No. 63)
Unique sites:
Na  0.0000  0.2468  0.2500 [4 per cell]
Ag  0.0000  0.4209  0.7500 [4 per cell]
Te  0.0000  0.0636  0.7500 [4 per cell]
Te  0.0000  0.3714  0.5098 [8 per cell]
Ir  0.0000  0.0000  0.0000 [4 per cell]

Crystalline Sc3CoB2 at its relaxed geometry, computed with PBE-GGA.

Computed properties:
* uncorrected energy: -6.46 eV/atom

Lattice parameters (Å, degrees): 3.2163 3.2163 20.4056 90.00 90.00 120.00
Space group P6_3/mmc (No. 194)
Unique sites:
Sc  0.0000  0.0000  0.0000 [2 per cell]
Sc  0.3333  0.6667  0.1563 [4 per cell]
Co  0.0000  0.0000  0.2500 [2 per cell]
B  0.3333  0.6667  0.5804 [4 per cell]

Crystalline InCoCuSeS2 at its relaxed geometry, computed with PBE-GGA.

Computed properties:
* uncorrected energy: -4.43 eV/atom

Lattice parameters (Å, degrees): 3.4320 13.4474 9.5312 90.00 90.00 90.00
Space group Cmcm (No. 63)
Unique sites:
In  0.0000  0.2083  0.2500 [4 per cell]
Co  0.0000  0.5000  0.0000 [4 per cell]
Cu  0.0000  0.1348  0.7500 [4 per cell]
Se  0.0000  0.4599  0.7500 [4 per cell]
S  0.0000  0.1111  0.5200 [8 per cell]

Crystalline Zr2IBr5 at its relaxed geometry, computed with PBE-GGA.

Computed properties:
* uncorrected energy: -4.67 eV/atom

Lattice parameters (Å, degrees): 6.3148 12.1060 7.2199 90.00 90.00 90.00
Space group Amm2 (No. 38)
Unique sites:
Zr  0.2502  0.0000  0.0000 [4 per cell]
I  0.0000  0.0000  0.3379 [2 per cell]
Br  0.0000  0.1569  0.8435 [4 per cell]
Br  0.5000  0.0000  0.6914 [2 per cell]
Br  0.5000  0.1594  0.1486 [4 per cell]

Crystalline InPd at its relaxed geometry, computed with PBE-GGA.

Computed properties:
* uncorrected energy: -4.23 eV/atom

Lattice parameters (Å, degrees): 5.4729 5.4729 5.4729 90.00 90.00 90.00
Space group Fm-3m (No. 225)
Unique sites:
In  0.0000  0.0000  0.0000 [4 per cell]
Pd  0.0000  0.0000  0.5000 [4 per cell]

Crystalline NaGdFeSe3 at its relaxed geometry, computed with PBE-GGA.

Computed properties:
* relative energy among the computed polymorphs: 0.15 eV per formula unit

Lattice parameters (Å, degrees): 4.0568 13.4796 10.8437 90.00 90.00 90.00
Space group Cmcm (No. 63)
Unique sites:
Na  0.0000  0.2447  0.2500 [4 per cell]
Gd  0.0000  0.0000  0.0000 [4 per cell]
Fe  0.0000  0.4711  0.7500 [4 per cell]
Se  0.0000  0.0798  0.7500 [4 per cell]
Se  0.0000  0.3610  0.5741 [8 per cell]

Please write out number 8 again, unchanged.
Crystalline Sc3CoB2 at its relaxed geometry, computed with PBE-GGA.

Computed properties:
* uncorrected energy: -6.46 eV/atom

Lattice parameters (Å, degrees): 3.2163 3.2163 20.4056 90.00 90.00 120.00
Space group P6_3/mmc (No. 194)
Unique sites:
Sc  0.0000  0.0000  0.0000 [2 per cell]
Sc  0.3333  0.6667  0.1563 [4 per cell]
Co  0.0000  0.0000  0.2500 [2 per cell]
B  0.3333  0.6667  0.5804 [4 per cell]

> Number 6 is which compound?

NaOsPb

> Which formula does entry 3 have?

Nb3SbC2